# 1
VASP calculation (GGA-PBE) on a relaxed LiY4As crystal.

a b c (Å): 9.003 9.003 9.003
angles (deg): 90.00 90.00 90.00
Space group F-43m (No. 216)
Unique sites:
Li1 0.000 0.000 0.000 [4 per cell]
Y1 0.125 0.125 0.625 [16 per cell]
As1 0.250 0.250 0.250 [4 per cell]

Computed properties:
DOS(E_F) (states/eV per atom): 1.2599
Calculated volume (Å³/f.u.): 182.4
Total moment (μB per formula unit): 0.000
Theoretical density (kg/m3): 3982
Energy relative to the elements (kcal/mol of atoms): 8.920


# 2
VASP calculation (GGA-PBE) on a relaxed LiYAs crystal.

a b c (Å): 6.514 6.514 6.514
angles (deg): 90.00 90.00 90.00
Space group F-43m (No. 216)
Unique sites:
Li1 0.000 0.000 0.000 [4 per cell]
Y1 0.000 0.000 0.500 [4 per cell]
As1 0.250 0.250 0.750 [4 per cell]

Computed properties:
DOS(E_F) (states/eV per atom): 0.6542
Calculated volume (Å³/f.u.): 69.1
Total moment (μB per formula unit): 0.000
Theoretical density (kg/m3): 4104
Energy relative to the elements (kcal/mol of atoms): -20.402


# 3
VASP calculation (GGA-PBE) on a relaxed LiYAs crystal.

a b c (Å): 4.2505 4.2505 7.4029
angles (deg): 90.00 90.00 120.00
Space group P6_3/mmc (No. 194)
Unique sites:
Li1 0.3333 0.6667 0.2500 [2 per cell]
Y1 0.0000 0.0000 0.0000 [2 per cell]
As1 0.3333 0.6667 0.7500 [2 per cell]

Computed properties:
DOS(E_F) (states/eV per atom): 0.7329
Calculated volume (Å³/f.u.): 57.9
Total moment (μB per formula unit): 0.002
Theoretical density (kg/m3): 4896
Energy relative to the elements (kcal/mol of atoms): -22.590


# 4
VASP calculation (GGA-PBE) on a relaxed Li2YAs crystal.

a b c (Å): 4.768 4.768 6.760
angles (deg): 90.00 90.00 90.00
Space group I-4m2 (No. 119)
Unique sites:
Li1 0.000 0.000 0.000 [2 per cell]
Li2 0.000 0.500 0.250 [2 per cell]
Y1 0.000 0.500 0.750 [2 per cell]
As1 0.000 0.000 0.500 [2 per cell]

Computed properties:
DOS(E_F) (states/eV per atom): 0.2414
Calculated volume (Å³/f.u.): 76.8
Total moment (μB per formula unit): 0.000
Theoretical density (kg/m3): 3840
Energy relative to the elements (kcal/mol of atoms): -11.171


# 5
VASP calculation (GGA-PBE) on a relaxed Li2YAs crystal.

a b c (Å): 12.832 4.036 3.978
angles (deg): 90.00 99.88 90.00
Space group C2/m (No. 12)
Unique sites:
Li1 0.197 0.000 0.207 [4 per cell]
Y1 0.000 0.500 0.500 [2 per cell]
As1 0.000 0.000 0.000 [2 per cell]

Computed properties:
DOS(E_F) (states/eV per atom): 0.6936
Calculated volume (Å³/f.u.): 101.5
Total moment (μB per formula unit): 0.000
Theoretical density (kg/m3): 2908
Energy relative to the elements (kcal/mol of atoms): -12.984


# 6
VASP calculation (GGA-PBE) on a relaxed LiYAs crystal.

a b c (Å): 6.660 6.660 6.660
angles (deg): 90.00 90.00 90.00
Space group F-43m (No. 216)
Unique sites:
Li1 0.000 0.000 0.000 [4 per cell]
Y1 0.250 0.250 0.750 [4 per cell]
As1 0.000 0.000 0.500 [4 per cell]

Computed properties:
DOS(E_F) (states/eV per atom): 0.5219
Calculated volume (Å³/f.u.): 73.9
Total moment (μB per formula unit): 0.000
Theoretical density (kg/m3): 3839
Energy relative to the elements (kcal/mol of atoms): -9.973


# 7
VASP calculation (GGA-PBE) on a relaxed Li2YAs crystal.

a b c (Å): 3.758 3.758 6.388
angles (deg): 90.00 90.00 90.00
Space group P4mm (No. 99)
Unique sites:
Li1 0.000 0.000 0.000 [1 per cell]
Li2 0.500 0.500 0.175 [1 per cell]
Y1 0.000 0.000 0.548 [1 per cell]
As1 0.500 0.500 0.735 [1 per cell]

Computed properties:
DOS(E_F) (states/eV per atom): 0.2555
Calculated volume (Å³/f.u.): 90.2
Total moment (μB per formula unit): 0.000
Theoretical density (kg/m3): 3271
Energy relative to the elements (kcal/mol of atoms): -11.063


# 8
VASP calculation (GGA-PBE) on a relaxed Li2YAs crystal.

a b c (Å): 4.071 4.071 21.120
angles (deg): 90.00 90.00 90.00
Space group I-42d (No. 122)
Unique sites:
Li1 0.198 0.750 0.125 [8 per cell]
Y1 0.000 0.000 0.500 [4 per cell]
As1 0.000 0.000 0.000 [4 per cell]

Computed properties:
DOS(E_F) (states/eV per atom): 0.6597
Calculated volume (Å³/f.u.): 87.5
Total moment (μB per formula unit): 0.000
Theoretical density (kg/m3): 3373
Energy relative to the elements (kcal/mol of atoms): -11.552


# 9
VASP calculation (GGA-PBE) on a relaxed Li2YAs crystal.

a b c (Å): 3.2797 3.2797 28.7662
angles (deg): 90.00 90.00 120.00
Space group R-3m (No. 166, hexagonal axes)
Unique sites:
Li1 0.0000 0.0000 0.2308 [6 per cell]
Y1 0.0000 0.0000 0.0000 [3 per cell]
As1 0.0000 0.0000 0.5000 [3 per cell]

Computed properties:
DOS(E_F) (states/eV per atom): 0.7537
Calculated volume (Å³/f.u.): 89.3
Total moment (μB per formula unit): 0.000
Theoretical density (kg/m3): 3304
Energy relative to the elements (kcal/mol of atoms): -1.292


# 10
VASP calculation (GGA-PBE) on a relaxed LiZnAs crystal.

a b c (Å): 2.9741 2.9741 6.5864
angles (deg): 90.00 90.00 120.00
Space group P3m1 (No. 156)
Unique sites:
Li1 0.0000 0.0000 0.0000 [1 per cell]
Zn1 0.6667 0.3333 0.3235 [1 per cell]
As1 0.3333 0.6667 0.6817 [1 per cell]

Computed properties:
DOS(E_F) (states/eV per atom): 0.4062
Calculated volume (Å³/f.u.): 50.5
Total moment (μB per formula unit): 0.000
Theoretical density (kg/m3): 4847
Energy relative to the elements (kcal/mol of atoms): -1.744


# 11
VASP calculation (GGA-PBE) on a relaxed Li2ZnAs2 crystal.

a b c (Å): 8.053 8.053 2.638
angles (deg): 90.00 90.00 90.00
Space group P4/mbm (No. 127)
Unique sites:
Li1 0.122 0.378 0.000 [4 per cell]
Zn1 0.000 0.000 0.000 [2 per cell]
As1 0.177 0.677 0.500 [4 per cell]

Computed properties:
DOS(E_F) (states/eV per atom): 0.2876
Calculated volume (Å³/f.u.): 85.5
Total moment (μB per formula unit): 0.000
Theoretical density (kg/m3): 4448
Energy relative to the elements (kcal/mol of atoms): -5.397


# 12
VASP calculation (GGA-PBE) on a relaxed LiZn2As2 crystal.

a b c (Å): 7.452 7.452 3.230
angles (deg): 90.00 90.00 90.00
Space group P4/mbm (No. 127)
Unique sites:
Li1 0.000 0.000 0.000 [2 per cell]
Zn1 0.125 0.375 0.000 [4 per cell]
As1 0.176 0.676 0.500 [4 per cell]

Computed properties:
DOS(E_F) (states/eV per atom): 0.2611
Calculated volume (Å³/f.u.): 89.7
Total moment (μB per formula unit): 0.000
Theoretical density (kg/m3): 5325
Energy relative to the elements (kcal/mol of atoms): -1.348


# 13
VASP calculation (GGA-PBE) on a relaxed LiZnAs crystal.

a b c (Å): 3.660 3.660 7.465
angles (deg): 90.00 90.00 90.00
Space group I4mm (No. 107)
Unique sites:
Li1 0.000 0.000 0.000 [2 per cell]
Zn1 0.000 0.000 0.322 [2 per cell]
As1 0.000 0.000 0.671 [2 per cell]

Computed properties:
DOS(E_F) (states/eV per atom): 0.2065
Calculated volume (Å³/f.u.): 50.0
Total moment (μB per formula unit): 0.000
Theoretical density (kg/m3): 4891
Energy relative to the elements (kcal/mol of atoms): -5.120


# 14
VASP calculation (GGA-PBE) on a relaxed Li5ZnAs2 crystal.

a b c (Å): 4.4630 4.4630 16.3127
angles (deg): 90.00 90.00 120.00
Space group P6_3/mmc (No. 194)
Unique sites:
Li1 0.0000 0.0000 0.1441 [4 per cell]
Li2 0.3333 0.6667 0.0564 [4 per cell]
Li3 0.3333 0.6667 0.2500 [2 per cell]
Zn1 0.3333 0.6667 0.7500 [2 per cell]
As1 0.3333 0.6667 0.6065 [4 per cell]

Computed properties:
DOS(E_F) (states/eV per atom): 0.1833
Calculated volume (Å³/f.u.): 140.7
Total moment (μB per formula unit): 0.000
Theoretical density (kg/m3): 2950
Energy relative to the elements (kcal/mol of atoms): -11.581


# 15
VASP calculation (GGA-PBE) on a relaxed Li4Zn5As6 crystal.

a b c (Å): 4.021 18.735 14.975
angles (deg): 90.00 90.00 90.00
Space group Cmc2_1 (No. 36)
Unique sites:
Li1 0.000 0.008 0.000 [4 per cell]
Li2 0.000 0.029 0.770 [4 per cell]
Li3 0.000 0.172 0.285 [4 per cell]
Li4 0.000 0.177 0.938 [4 per cell]
Zn1 0.000 0.147 0.620 [4 per cell]
Zn2 0.000 0.293 0.618 [4 per cell]
Zn3 0.000 0.354 0.260 [4 per cell]
Zn4 0.000 0.357 0.973 [4 per cell]
Zn5 0.000 0.437 0.674 [4 per cell]
As1 0.000 0.123 0.105 [4 per cell]
As2 0.000 0.222 0.474 [4 per cell]
As3 0.000 0.226 0.763 [4 per cell]
As4 0.000 0.436 0.394 [4 per cell]
As5 0.000 0.437 0.118 [4 per cell]
As6 0.000 0.443 0.843 [4 per cell]

Computed properties:
DOS(E_F) (states/eV per atom): 0.3293
Calculated volume (Å³/f.u.): 282.0
Total moment (μB per formula unit): 0.000
Theoretical density (kg/m3): 4736
Energy relative to the elements (kcal/mol of atoms): -7.809


# 16
VASP calculation (GGA-PBE) on a relaxed LiZnAs crystal.

a b c (Å): 4.1332 4.1332 4.0897
angles (deg): 90.00 90.00 120.00
Space group P3m1 (No. 156)
Unique sites:
Li1 0.0000 0.0000 0.0000 [1 per cell]
Zn1 0.3333 0.6667 0.5017 [1 per cell]
As1 0.6667 0.3333 0.5030 [1 per cell]

Computed properties:
DOS(E_F) (states/eV per atom): 0.1776
Calculated volume (Å³/f.u.): 60.5
Total moment (μB per formula unit): 0.000
Theoretical density (kg/m3): 4042
Energy relative to the elements (kcal/mol of atoms): -7.516


# 17
VASP calculation (GGA-PBE) on a relaxed Li2ZnAs2 crystal.

a b c (Å): 3.807 3.807 13.380
angles (deg): 90.00 90.00 90.00
Space group I4/mmm (No. 139)
Unique sites:
Li1 0.000 0.000 0.108 [4 per cell]
Zn1 0.000 0.000 0.500 [2 per cell]
As1 0.000 0.500 0.250 [4 per cell]

Computed properties:
DOS(E_F) (states/eV per atom): 0.2341
Calculated volume (Å³/f.u.): 97.0
Total moment (μB per formula unit): 0.000
Theoretical density (kg/m3): 3923
Energy relative to the elements (kcal/mol of atoms): -2.820


# 18
VASP calculation (GGA-PBE) on a relaxed Li3ZnAs crystal.

a b c (Å): 4.877 4.877 4.877
angles (deg): 90.00 90.00 90.00
Space group Pm-3m (No. 221)
Unique sites:
Li1 0.000 0.000 0.500 [3 per cell]
Zn1 0.500 0.500 0.500 [1 per cell]
As1 0.000 0.000 0.000 [1 per cell]

Computed properties:
DOS(E_F) (states/eV per atom): 0.0000
Calculated volume (Å³/f.u.): 116.0
Total moment (μB per formula unit): 0.000
Theoretical density (kg/m3): 2307
Energy relative to the elements (kcal/mol of atoms): -6.433


# 19
VASP calculation (GGA-PBE) on a relaxed LiZn2As2 crystal.

a b c (Å): 3.969 3.969 12.564
angles (deg): 90.00 90.00 90.00
Space group I4/mmm (No. 139)
Unique sites:
Li1 0.000 0.000 0.000 [2 per cell]
Zn1 0.000 0.500 0.250 [4 per cell]
As1 0.000 0.000 0.380 [4 per cell]

Computed properties:
DOS(E_F) (states/eV per atom): 0.3566
Calculated volume (Å³/f.u.): 98.9
Total moment (μB per formula unit): 0.000
Theoretical density (kg/m3): 4827
Energy relative to the elements (kcal/mol of atoms): -4.492


# 20
VASP calculation (GGA-PBE) on a relaxed Li2ZnAs2 crystal.

a b c (Å): 6.579 6.579 4.226
angles (deg): 90.00 90.00 90.00
Space group P4/mbm (No. 127)
Unique sites:
Li1 0.166 0.334 0.000 [4 per cell]
Zn1 0.000 0.000 0.500 [2 per cell]
As1 0.136 0.636 0.500 [4 per cell]

Computed properties:
DOS(E_F) (states/eV per atom): 0.0897
Calculated volume (Å³/f.u.): 91.5
Total moment (μB per formula unit): 0.000
Theoretical density (kg/m3): 4160
Energy relative to the elements (kcal/mol of atoms): -8.817


| no. | raw total energy (eV/atom) |
| --- | --- |
| 1 | -5.02 |
| 2 | -5.23 |
| 3 | -5.32 |
| 4 | -4.22 |
| 5 | -4.30 |
| 6 | -4.77 |
| 7 | -4.22 |
| 8 | -4.24 |
| 9 | -3.79 |
| 10 | -2.69 |
| 11 | -3.11 |
| 12 | -2.81 |
| 13 | -2.83 |
| 14 | -3.02 |
| 15 | -3.13 |
| 16 | -2.94 |
| 17 | -3.00 |
| 18 | -2.61 |
| 19 | -2.95 |
| 20 | -3.26 |